Here is an optimized crystal structure of Th8Tc3Te4Pb from the Alexandria database. Energies are from PBE. Values from VASP.

```
&SYSTEM
  ibrav = 0, nat = 16, ntyp = 4
/
ATOMIC_SPECIES
Th 232.04 Th.upf
Tc 98.00 Tc.upf
Te 127.60 Te.upf
Pb 207.20 Pb.upf
ATOMIC_POSITIONS crystal
Th 0.206 0.749 0.749
Th 0.235 0.235 0.235
Th 0.251 0.251 0.794
Th 0.251 0.794 0.251
Th 0.749 0.206 0.749
Th 0.749 0.749 0.206
Th 0.765 0.765 0.765
Th 0.794 0.251 0.251
Tc 0.000 0.000 0.500
Tc 0.000 0.500 0.000
Tc 0.500 0.000 0.000
Te 0.000 0.000 0.000
Te 0.000 0.500 0.500
Te 0.500 0.000 0.500
Te 0.500 0.500 0.000
Pb 0.500 0.500 0.500
CELL_PARAMETERS angstrom
4.319 2.493 7.598
-4.319 2.493 7.598
0.000 -4.987 7.598
```

Computed properties:
Raw formation energy ... -603 meV/atom
D(E_F) ... 0.73 states/eV per atom
Mass density ... 9.700 g/cm3
Total magnetization ... 0.000 μB per cell

Here is an optimized crystal structure of TcTePbW2 from the Alexandria database. Energies are from PBE. Values from VASP.

```
&SYSTEM
  ibrav = 0, nat = 5, ntyp = 4
/
ATOMIC_SPECIES
Tc 98.00 Tc.upf
Te 127.60 Te.upf
Pb 207.20 Pb.upf
W 183.84 W.upf
ATOMIC_POSITIONS crystal
Tc 0.000 0.000 0.000
Te 0.000 0.000 0.500
Pb 0.500 0.500 0.500
W 0.000 0.500 0.000
W 0.500 0.000 0.000
CELL_PARAMETERS angstrom
4.999 0.000 0.000
0.000 4.999 0.000
0.000 0.000 5.263
```

Computed properties:
Raw formation energy ... 1635 meV/atom
D(E_F) ... 1.07 states/eV per atom
Mass density ... 10.106 g/cm3
Total magnetization ... 3.310 μB per cell

Here is an optimized crystal structure of ZrTc2TePb from the Alexandria database. Energies are from PBE. Values from VASP.

```
&SYSTEM
  ibrav = 0, nat = 5, ntyp = 4
/
ATOMIC_SPECIES
Zr 91.22 Zr.upf
Tc 98.00 Tc.upf
Te 127.60 Te.upf
Pb 207.20 Pb.upf
ATOMIC_POSITIONS crystal
Zr 0.000 0.000 0.000
Tc 0.000 0.500 0.500
Tc 0.500 0.000 0.500
Te 0.500 0.500 0.000
Pb 0.000 0.000 0.500
CELL_PARAMETERS angstrom
5.041 0.000 0.000
0.000 5.041 0.000
0.000 0.000 5.456
```

Computed properties:
Raw formation energy ... 1733 meV/atom
D(E_F) ... 0.97 states/eV per atom
Mass density ... 7.450 g/cm3
Total magnetization ... 3.599 μB per cell

Here is an optimized crystal structure of Th5Tc2Pb2 from the Alexandria database. Energies are from PBE. Values from VASP.

```
&SYSTEM
  ibrav = 0, nat = 9, ntyp = 3
/
ATOMIC_SPECIES
Th 232.04 Th.upf
Tc 98.00 Tc.upf
Pb 207.20 Pb.upf
ATOMIC_POSITIONS crystal
Th 0.000 0.000 0.000
Th 0.183 0.183 0.546
Th 0.347 0.347 0.068
Th 0.653 0.653 0.932
Th 0.817 0.817 0.454
Tc 0.165 0.165 0.048
Tc 0.835 0.835 0.952
Pb 0.435 0.435 0.636
Pb 0.565 0.565 0.364
CELL_PARAMETERS angstrom
8.486 -2.686 0.000
8.486 2.686 0.000
-1.723 0.000 5.737
```

Computed properties:
D(E_F) ... 0.83 states/eV per atom
Calculated formation energy ... -0.1088 eV per atom
Mass density ... 11.243 g/cm3
Total magnetization ... 0.000 μB per cell
Excess energy over the best structure of this formula in the dataset ... 111 meV per atom